Arrangement a

Density functional theory data (PBE) for crystalline KOsSe2Br at its relaxed geometry.

Cell and atoms, written as POSCAR:
```
KOsSe2Br
1.0
4.840 0.000 0.000
0.000 4.840 0.000
0.000 0.000 5.772
K Os Se Br
1 1 2 1
direct
0.000 0.000 0.000
0.500 0.500 0.500
0.000 0.500 0.500
0.500 0.000 0.500
0.500 0.500 0.000
```

Results
- Theoretical density: 5.739 Mg/m³
- Volume: 27.035 A^3/atom
- M_tot: 0.0 Bohr magnetons per cell



Arrangement b

Density functional theory data (PBE) for crystalline KOsSe2Br at its relaxed geometry.

Cell and atoms, written as POSCAR:
```
KOsSe2Br
1.0
5.666 0.000 0.000
0.000 5.666 0.000
0.000 0.000 5.615
K Os Se Br
1 1 2 1
direct
0.000 0.000 0.000
0.500 0.500 0.500
0.000 0.500 0.000
0.500 0.000 0.000
0.000 0.000 0.500
```

Results
- Theoretical density: 4.304 Mg/m³
- Volume: 36.048 A^3/atom
- M_tot: 4.1 Bohr magnetons per cell



Least stable structure: arrangement b



Arrangement a

Density functional theory data (PBE) for crystalline KP2Br at its relaxed geometry.

Cell and atoms, written as POSCAR:
```
KP2Br
1.0
1.890 -2.802 0.000
1.890 2.802 0.000
0.000 0.000 8.902
K P Br
1 2 1
direct
0.000 0.000 0.000
0.500 0.500 0.286
0.500 0.500 0.714
0.000 0.000 0.500
```

Results
- Theoretical density: 3.188 Mg/m³
- Volume: 23.565 A^3/atom
- M_tot: 0.0 Bohr magnetons per cell



Arrangement b

Density functional theory data (PBE) for crystalline KP2Br at its relaxed geometry.

Cell and atoms, written as POSCAR:
```
KP2Br
1.0
3.404 0.000 0.000
0.000 3.404 0.000
0.000 0.000 8.982
K P Br
1 2 1
direct
0.000 0.000 0.000
0.000 0.000 0.370
0.500 0.500 0.334
0.500 0.500 0.782
```

Results
- Theoretical density: 2.887 Mg/m³
- Volume: 26.015 A^3/atom
- M_tot: 0.0 Bohr magnetons per cell



Arrangement c

Density functional theory data (PBE) for crystalline KP2Br at its relaxed geometry.

Cell and atoms, written as POSCAR:
```
KP2Br
1.0
4.763 -1.652 0.000
4.763 1.652 0.000
-4.465 0.000 8.186
K P Br
1 2 1
direct
0.000 0.000 0.000
0.135 0.135 0.604
0.572 0.572 0.710
0.818 0.818 0.202
```

Results
- Theoretical density: 2.332 Mg/m³
- Volume: 32.214 A^3/atom
- M_tot: 0.0 Bohr magnetons per cell



Least stable structure: arrangement a



Arrangement a

Density functional theory data (PBE) for crystalline KP2Br at its relaxed geometry.

Cell and atoms, written as POSCAR:
```
KP2Br
1.0
2.768 -6.694 0.000
2.768 6.694 0.000
0.000 0.000 2.672
K P Br
1 2 1
direct
0.000 0.000 0.000
0.000 0.500 0.500
0.500 0.000 0.500
0.500 0.500 0.000
```

Results
- Theoretical density: 3.035 Mg/m³
- Volume: 24.751 A^3/atom
- M_tot: 0.0 Bohr magnetons per cell



Arrangement b

Density functional theory data (PBE) for crystalline KP2Br at its relaxed geometry.

Cell and atoms, written as POSCAR:
```
KP2Br
1.0
4.517 0.000 0.000
0.000 6.820 0.000
-0.042 0.000 4.707
K P Br
1 2 1
direct
0.000 0.000 0.000
0.383 0.500 0.829
0.617 0.500 0.171
0.500 0.000 0.500
```

Results
- Theoretical density: 2.072 Mg/m³
- Volume: 36.254 A^3/atom
- M_tot: 0.0 Bohr magnetons per cell



Least stable structure: arrangement a



Arrangement a

Density functional theory data (PBE) for crystalline KP2Br at its relaxed geometry.

Cell and atoms, written as POSCAR:
```
KP2Br
1.0
-1.964 1.964 7.998
1.964 -1.964 7.998
1.964 1.964 -7.998
K P Br
1 2 1
direct
0.000 0.000 0.000
0.250 0.750 0.500
0.750 0.250 0.500
0.500 0.500 0.000
```

Results
- Theoretical density: 2.436 Mg/m³
- Volume: 30.843 A^3/atom
- M_tot: 0.0 Bohr magnetons per cell



Arrangement b

Density functional theory data (PBE) for crystalline KP2Br at its relaxed geometry.

Cell and atoms, written as POSCAR:
```
KP2Br
1.0
3.195 0.000 0.000
0.000 3.195 0.000
0.000 0.000 8.755
K P Br
1 2 1
direct
0.000 0.000 0.000
0.500 0.500 0.280
0.500 0.500 0.720
0.000 0.000 0.500
```

Results
- Theoretical density: 3.362 Mg/m³
- Volume: 22.346 A^3/atom
- M_tot: 0.0 Bohr magnetons per cell



Least stable structure: arrangement b



Arrangement a

Density functional theory data (PBE) for crystalline K2P2Br at its relaxed geometry.

Cell and atoms, written as POSCAR:
```
K2P2Br
1.0
-1.815 1.815 9.701
1.815 -1.815 9.701
1.815 1.815 -9.701
K P Br
2 2 1
direct
0.106 0.106 0.000
0.894 0.894 0.000
0.250 0.750 0.500
0.750 0.250 0.500
0.500 0.500 0.000
```

Results
- Theoretical density: 2.859 Mg/m³
- Volume: 25.557 A^3/atom
- M_tot: 0.0 Bohr magnetons per cell



Arrangement b

Density functional theory data (PBE) for crystalline K2P2Br at its relaxed geometry.

Cell and atoms, written as POSCAR:
```
K2P2Br
1.0
8.673 0.000 0.000
0.000 8.673 0.000
0.000 0.000 4.218
K P Br
4 4 2
direct
0.207 0.293 0.000
0.293 0.793 0.000
0.707 0.207 0.000
0.793 0.707 0.000
0.081 0.581 0.500
0.419 0.081 0.500
0.581 0.919 0.500
0.919 0.419 0.500
0.000 0.000 0.500
0.500 0.500 0.500
```

Results
- Theoretical density: 2.304 Mg/m³
- Volume: 31.723 A^3/atom
- M_tot: 0.0 Bohr magnetons per cell



Least stable structure: arrangement b



Arrangement a

Density functional theory data (PBE) for crystalline KP3Br at its relaxed geometry.

Cell and atoms, written as POSCAR:
```
KP3Br
1.0
5.070 0.000 0.000
0.000 5.070 0.000
0.000 0.000 5.070
K P Br
1 3 1
direct
0.000 0.000 0.000
0.000 0.500 0.500
0.500 0.000 0.500
0.500 0.500 0.000
0.500 0.500 0.500
```

Results
- Theoretical density: 2.700 Mg/m³
- Volume: 26.070 A^3/atom
- M_tot: 0.3 Bohr magnetons per cell



Arrangement b

Density functional theory data (PBE) for crystalline KP3Br at its relaxed geometry.

Cell and atoms, written as POSCAR:
```
KP3Br
1.0
6.529 0.000 0.000
0.000 6.529 0.000
0.000 0.000 6.529
K P Br
1 3 1
direct
0.000 0.000 0.000
0.000 0.000 0.500
0.000 0.500 0.000
0.500 0.000 0.000
0.500 0.500 0.500
```

Results
- Theoretical density: 1.264 Mg/m³
- Volume: 55.665 A^3/atom
- M_tot: 8.5 Bohr magnetons per cell



Least stable structure: arrangement b



Arrangement a

Density functional theory data (PBE) for crystalline KRb2PBr6 at its relaxed geometry.

Cell and atoms, written as POSCAR:
```
KRb2PBr6
1.0
7.899 0.000 0.000
0.000 8.214 0.000
-7.787 0.000 11.326
K Rb P Br
2 4 2 12
direct
0.000 0.000 0.000
0.000 0.500 0.500
0.273 0.069 0.753
0.273 0.431 0.253
0.727 0.569 0.747
0.727 0.931 0.247
0.500 0.000 0.500
0.500 0.500 0.000
0.191 0.020 0.280
0.191 0.480 0.780
0.276 0.674 0.045
0.276 0.826 0.545
0.380 0.233 0.047
0.380 0.267 0.547
0.620 0.733 0.453
0.620 0.767 0.953
0.724 0.174 0.455
0.724 0.326 0.955
0.809 0.520 0.220
0.809 0.980 0.720
```

Results
- Theoretical density: 3.256 Mg/m³
- Volume: 36.745 A^3/atom
- M_tot: 0.0 Bohr magnetons per cell



Arrangement b

Density functional theory data (PBE) for crystalline KRb2PBr6 at its relaxed geometry.

Cell and atoms, written as POSCAR:
```
KRb2PBr6
1.0
0.000 5.719 5.719
5.719 0.000 5.719
5.719 5.719 0.000
K Rb P Br
1 2 1 6
direct
0.000 0.000 0.000
0.250 0.250 0.250
0.750 0.750 0.750
0.500 0.500 0.500
0.274 0.274 0.726
0.274 0.726 0.274
0.274 0.726 0.726
0.726 0.274 0.274
0.726 0.274 0.726
0.726 0.726 0.274
```

Results
- Theoretical density: 3.198 Mg/m³
- Volume: 37.403 A^3/atom
- M_tot: 0.0 Bohr magnetons per cell



Least stable structure: arrangement b



Arrangement a

Density functional theory data (PBE) for crystalline KPaBr6 at its relaxed geometry.

Cell and atoms, written as POSCAR:
```
KPaBr6
1.0
3.999 -6.197 0.000
3.999 6.197 0.000
-1.956 0.000 7.072
K Pa Br
1 1 6
direct
0.000 0.000 0.000
0.500 0.500 0.500
0.169 0.480 0.261
0.246 0.246 0.683
0.480 0.169 0.261
0.520 0.831 0.739
0.754 0.754 0.317
0.831 0.520 0.739
```

Results
- Theoretical density: 3.551 Mg/m³
- Volume: 43.812 A^3/atom
- M_tot: 0.0 Bohr magnetons per cell



Arrangement b

Density functional theory data (PBE) for crystalline KPaBr6 at its relaxed geometry.

Cell and atoms, written as POSCAR:
```
KPaBr6
1.0
3.833 2.213 7.012
-3.833 2.213 7.012
0.000 -4.426 7.012
K Pa Br
1 1 6
direct
0.000 0.000 0.000
0.500 0.500 0.500
0.092 0.591 0.591
0.409 0.409 0.908
0.409 0.908 0.409
0.591 0.092 0.591
0.591 0.591 0.092
0.908 0.409 0.409
```

Results
- Theoretical density: 3.488 Mg/m³
- Volume: 44.606 A^3/atom
- M_tot: 0.0 Bohr magnetons per cell



Least stable structure: arrangement b



Arrangement a

Density functional theory data (PBE) for crystalline K2PbBr4 at its relaxed geometry.

Cell and atoms, written as POSCAR:
```
K2PbBr4
1.0
-2.967 2.967 8.483
2.967 -2.967 8.483
2.967 2.967 -8.483
K Pb Br
2 1 4
direct
0.137 0.137 0.000
0.863 0.863 0.000
0.500 0.500 0.000
0.000 0.500 0.500
0.324 0.324 0.000
0.500 0.000 0.500
0.676 0.676 0.000
```

Results
- Theoretical density: 3.362 Mg/m³
- Volume: 42.685 A^3/atom
- M_tot: 0.0 Bohr magnetons per cell



Arrangement b

Density functional theory data (PBE) for crystalline K2PbBr4 at its relaxed geometry.

Cell and atoms, written as POSCAR:
```
K2PbBr4
1.0
7.537 -2.297 0.000
7.537 2.297 0.000
-3.962 0.000 7.767
K Pb Br
2 1 4
direct
0.191 0.191 0.178
0.809 0.809 0.822
0.500 0.500 0.500
0.144 0.144 0.520
0.399 0.399 0.114
0.601 0.601 0.886
0.856 0.856 0.480
```

Results
- Theoretical density: 3.736 Mg/m³
- Volume: 38.411 A^3/atom
- M_tot: 0.0 Bohr magnetons per cell



Arrangement c

Density functional theory data (PBE) for crystalline K2PbBr4 at its relaxed geometry.

Cell and atoms, written as POSCAR:
```
K2PbBr4
1.0
4.788 -6.673 0.000
4.788 6.673 0.000
0.000 0.000 4.592
K Pb Br
2 1 4
direct
0.000 0.500 0.000
0.500 0.000 0.000
0.000 0.000 0.500
0.216 0.216 0.000
0.229 0.771 0.500
0.771 0.229 0.500
0.784 0.784 0.000
```

Results
- Theoretical density: 3.424 Mg/m³
- Volume: 41.915 A^3/atom
- M_tot: 0.0 Bohr magnetons per cell



Least stable structure: arrangement a



Arrangement a

Density functional theory data (PBE) for crystalline KPbBr4 at its relaxed geometry.

Cell and atoms, written as POSCAR:
```
KPbBr4
1.0
0.000 4.645 4.645
4.645 0.000 4.645
4.645 4.645 0.000
K Pb Br
1 1 4
direct
0.000 0.000 0.000
0.750 0.750 0.750
0.375 0.375 0.375
0.375 0.375 0.876
0.375 0.876 0.375
0.876 0.375 0.375
```

Results
- Theoretical density: 4.688 Mg/m³
- Volume: 33.410 A^3/atom
- M_tot: 1.0 Bohr magnetons per cell



Arrangement b

Density functional theory data (PBE) for crystalline KPbBr4 at its relaxed geometry.

Cell and atoms, written as POSCAR:
```
KPbBr4
1.0
4.959 -7.498 0.000
4.959 7.498 0.000
-4.184 0.000 6.076
K Pb Br
2 2 8
direct
0.134 0.866 0.750
0.866 0.134 0.250
0.407 0.593 0.250
0.593 0.407 0.750
0.101 0.550 0.307
0.241 0.334 0.764
0.334 0.241 0.264
0.450 0.899 0.193
0.550 0.101 0.807
0.666 0.759 0.736
0.759 0.666 0.236
0.899 0.450 0.693
```

Results
- Theoretical density: 4.160 Mg/m³
- Volume: 37.652 A^3/atom
- M_tot: 0.0 Bohr magnetons per cell



Least stable structure: arrangement a



Arrangement a

Density functional theory data (PBE) for crystalline KPb2Br at its relaxed geometry.

Cell and atoms, written as POSCAR:
```
KPb2Br
1.0
-1.927 2.430 8.052
1.927 -2.430 8.052
1.927 2.430 -8.052
K Pb Br
1 2 1
direct
0.000 0.000 0.000
0.287 0.787 0.500
0.713 0.213 0.500
0.500 0.500 0.000
```

Results
- Theoretical density: 5.871 Mg/m³
- Volume: 37.715 A^3/atom
- M_tot: 0.0 Bohr magnetons per cell



Arrangement b

Density functional theory data (PBE) for crystalline KPb2Br at its relaxed geometry.

Cell and atoms, written as POSCAR:
```
KPb2Br
1.0
3.913 0.000 0.000
0.000 4.933 0.000
-1.881 0.000 7.807
K Pb Br
1 2 1
direct
0.000 0.000 0.000
0.260 0.000 0.538
0.699 0.500 0.412
0.503 0.500 0.006
```

Results
- Theoretical density: 5.878 Mg/m³
- Volume: 37.669 A^3/atom
- M_tot: 0.0 Bohr magnetons per cell



Arrangement c

Density functional theory data (PBE) for crystalline KPb2Br at its relaxed geometry.

Cell and atoms, written as POSCAR:
```
KPb2Br
1.0
4.385 0.000 0.000
0.000 4.385 0.000
0.000 0.000 7.428
K Pb Br
1 2 1
direct
0.000 0.000 0.000
0.500 0.500 0.298
0.500 0.500 0.702
0.000 0.000 0.500
```

Results
- Theoretical density: 6.202 Mg/m³
- Volume: 35.702 A^3/atom
- M_tot: 0.0 Bohr magnetons per cell



Least stable structure: arrangement c



Arrangement a

Density functional theory data (PBE) for crystalline KPb2Br at its relaxed geometry.

Cell and atoms, written as POSCAR:
```
KPb2Br
1.0
4.989 0.000 0.000
-2.495 4.321 0.000
0.000 0.000 8.117
K Pb Br
1 2 1
direct
0.000 0.000 0.000
0.333 0.667 0.659
0.667 0.333 0.535
0.667 0.333 0.161
```

Results
- Theoretical density: 5.062 Mg/m³
- Volume: 43.742 A^3/atom
- M_tot: 0.0 Bohr magnetons per cell



Arrangement b

Density functional theory data (PBE) for crystalline KPb2Br at its relaxed geometry.

Cell and atoms, written as POSCAR:
```
KPb2Br
1.0
3.552 0.000 0.000
0.000 6.135 0.000
0.000 0.000 6.617
K Pb Br
1 2 1
direct
0.000 0.000 0.000
0.500 0.247 0.500
0.500 0.753 0.500
0.000 0.500 0.000
```

Results
- Theoretical density: 6.142 Mg/m³
- Volume: 36.053 A^3/atom
- M_tot: 0.0 Bohr magnetons per cell



Least stable structure: arrangement b